No. 1
First-principles (GGA-PBE) data for an optimized crystal structure of Ac3MgBe2Pd9, as listed in Alexandria via LeMat-Bulk.

a b c (Å): 6.887 6.887 7.279
angles (deg): 90.00 90.00 120.00
Atoms (fractional coordinates):
Ac1 0.333 0.667 0.668
Ac2 0.000 0.000 0.000
Ac3 0.667 0.333 0.332
Mg1 0.000 0.000 0.500
Be1 0.333 0.667 0.137
Be2 0.667 0.333 0.863
Pd1 0.815 0.185 0.678
Pd2 0.815 0.629 0.678
Pd3 0.371 0.185 0.678
Pd4 0.629 0.815 0.322
Pd5 0.185 0.371 0.322
Pd6 0.185 0.815 0.322
Pd7 0.500 0.000 0.000
Pd8 0.000 0.500 0.000
Pd9 0.500 0.500 0.000

SG = P-3m1, No. 164
Fermi-level density of states = 5.5 states/eV/f.u.
Electronic total energy = -5.17 eV per atom

No. 2
First-principles (GGA-PBE) data for an optimized crystal structure of Mg2MnPt2, as listed in Alexandria via LeMat-Bulk.

a b c (Å): 6.667 6.667 3.953
angles (deg): 90.00 90.00 90.00
Atoms (fractional coordinates):
Mg1 0.165 0.665 0.500
Mg2 0.665 0.835 0.500
Mg3 0.835 0.335 0.500
Mg4 0.335 0.165 0.500
Mn1 0.000 0.000 0.000
Mn2 0.500 0.500 0.000
Pt1 0.360 0.860 0.000
Pt2 0.860 0.640 0.000
Pt3 0.640 0.140 0.000
Pt4 0.140 0.360 0.000

SG = P4/mbm, No. 127
Fermi-level density of states = 1.9 states/eV/f.u.
Electronic total energy = -5.42 eV per atom

Computed values of density (unit: g/cm3) for the preceding records, in sequence: 9.3, 9.3.